[1]
Crystalline Li2Pd3Pb at its relaxed geometry. Source: Alexandria, functional GGA-PBE.

Cell lengths 4.240, 12.067, 3.774 Å; angles 90.00, 90.00, 90.00 degrees
Space group Cmmm (No. 65)
Unique sites:
1 Li 0.000 0.171 0.000 (multiplicity 4)
2 Pd 0.000 0.000 0.500 (multiplicity 2)
3 Pd 0.000 0.325 0.500 (multiplicity 4)
4 Pb 0.000 0.500 0.000 (multiplicity 2)

total moment	0.0000	μB per atom
E	-4.2562	eV/atom
offset from the most stable computed form	15	meV per atom
energy of formation from the pure elements	-0.40	eV/atom

[2]
Crystalline Li3PdPb4 at its relaxed geometry. Source: Alexandria, functional GGA-PBE.

Cell lengths 3.527, 3.527, 14.290 Å; angles 90.00, 90.00, 90.00 degrees
Space group P4/mmm (No. 123)
Unique sites:
1 Li 0.000 0.000 0.000 (multiplicity 1)
2 Li 0.000 0.000 0.250 (multiplicity 2)
3 Pd 0.000 0.000 0.500 (multiplicity 1)
4 Pb 0.500 0.500 0.124 (multiplicity 2)
5 Pb 0.500 0.500 0.384 (multiplicity 2)

total moment	0.0000	μB per atom
E	-3.4768	eV/atom
offset from the most stable computed form	0	meV per atom
energy of formation from the pure elements	-0.26	eV/atom

[3]
Crystalline LiPd5Pb6 at its relaxed geometry. Source: Alexandria, functional GGA-PBE.

Cell lengths 5.887, 11.829, 8.214 Å; angles 90.00, 107.55, 90.00 degrees
Space group C2/m (No. 12)
Unique sites:
1 Li 0.000 0.000 0.000 (multiplicity 2)
2 Pd 0.000 0.118 0.500 (multiplicity 4)
3 Pd 0.000 0.298 0.000 (multiplicity 4)
4 Pd 0.000 0.500 0.500 (multiplicity 2)
5 Pb 0.183 0.500 0.210 (multiplicity 4)
6 Pb 0.216 0.314 0.707 (multiplicity 8)

total moment	0.0000	μB per atom
E	-4.3370	eV/atom
energy of formation from the pure elements	-0.16	eV/atom

[4]
Crystalline Li2Pd4Pb3 at its relaxed geometry. Source: Alexandria, functional GGA-PBE.

Cell lengths 12.188, 10.952, 5.231 Å; angles 90.00, 98.09, 90.00 degrees
Space group C2/c (No. 15)
Unique sites:
1 Li 0.184 0.171 0.062 (multiplicity 8)
2 Pd 0.107 0.421 0.050 (multiplicity 8)
3 Pd 0.197 0.067 0.592 (multiplicity 8)
4 Pb 0.000 0.069 0.250 (multiplicity 4)
5 Pb 0.111 0.318 0.555 (multiplicity 8)

total moment	0.0000	μB per atom
E	-4.2399	eV/atom
offset from the most stable computed form	54	meV per atom
energy of formation from the pure elements	-0.27	eV/atom

[5]
Crystalline Li5Pd12Pb2 at its relaxed geometry. Source: Alexandria, functional GGA-PBE.

Cell lengths 13.904, 8.805, 5.093 Å; angles 90.00, 103.91, 90.00 degrees
Space group C2/m (No. 12)
Unique sites:
1 Li 0.000 0.000 0.000 (multiplicity 2)
2 Li 0.149 0.500 0.369 (multiplicity 4)
3 Li 0.221 0.000 0.968 (multiplicity 4)
4 Pd 0.053 0.500 0.783 (multiplicity 4)
5 Pd 0.102 0.253 0.107 (multiplicity 8)
6 Pd 0.156 0.000 0.426 (multiplicity 4)
7 Pd 0.201 0.274 0.705 (multiplicity 8)
8 Pb 0.000 0.212 0.500 (multiplicity 4)

total moment	0.0000	μB per atom
E	-4.4917	eV/atom
energy of formation from the pure elements	-0.32	eV/atom

[6]
Crystalline LiPd3Pb at its relaxed geometry. Source: Alexandria, functional GGA-PBE.

Cell lengths 4.155, 18.954, 4.186 Å; angles 90.00, 90.00, 90.00 degrees
Space group Cmcm (No. 63)
Unique sites:
1 Li 0.000 0.146 0.250 (multiplicity 4)
2 Pd 0.000 0.051 0.750 (multiplicity 4)
3 Pd 0.000 0.250 0.750 (multiplicity 4)
4 Pd 0.000 0.450 0.750 (multiplicity 4)
5 Pb 0.000 0.352 0.250 (multiplicity 4)

total moment	0.0000	μB per atom
E	-4.6052	eV/atom
offset from the most stable computed form	0	meV per atom
energy of formation from the pure elements	-0.37	eV/atom

[7]
Crystalline Li2Pd9Pb at its relaxed geometry. Source: Alexandria, functional GGA-PBE.

Cell lengths 4.003, 4.003, 11.696 Å; angles 90.00, 90.00, 90.00 degrees
Space group P4/mmm (No. 123)
Unique sites:
1 Li 0.000 0.000 0.160 (multiplicity 2)
2 Pd 0.000 0.500 0.000 (multiplicity 2)
3 Pd 0.000 0.500 0.319 (multiplicity 4)
4 Pd 0.500 0.500 0.158 (multiplicity 2)
5 Pd 0.500 0.500 0.500 (multiplicity 1)
6 Pb 0.000 0.000 0.500 (multiplicity 1)

total moment	0.0000	μB per atom
E	-4.7641	eV/atom
energy of formation from the pure elements	-0.24	eV/atom

[8]
Crystalline LiPmPd4Pb2 at its relaxed geometry. Source: Alexandria, functional GGA-PBE.

Cell lengths 4.7341, 4.7341, 24.0861 Å; angles 90.00, 90.00, 120.00 degrees
Space group R-3m (No. 166, hexagonal axes)
Unique sites:
1 Li 0.0000 0.0000 0.0000 (multiplicity 3)
2 Pm 0.0000 0.0000 0.5000 (multiplicity 3)
3 Pd 0.0000 0.0000 0.1101 (multiplicity 6)
4 Pd 0.0000 0.0000 0.3736 (multiplicity 6)
5 Pb 0.0000 0.0000 0.2556 (multiplicity 6)

total moment	0.0000	μB per atom
E	-4.8695	eV/atom
energy of formation from the pure elements	-0.51	eV/atom

[9]
Crystalline LiPmPdPb at its relaxed geometry. Source: Alexandria, functional GGA-PBE.

Cell lengths 6.933, 6.933, 6.933 Å; angles 90.00, 90.00, 90.00 degrees
Space group F-43m (No. 216)
Unique sites:
1 Li 0.000 0.000 0.000 (multiplicity 4)
2 Pm 0.250 0.250 0.750 (multiplicity 4)
3 Pd 0.000 0.000 0.500 (multiplicity 4)
4 Pb 0.250 0.250 0.250 (multiplicity 4)

total moment	0.0000	μB per atom
E	-4.5266	eV/atom
energy of formation from the pure elements	-0.64	eV/atom

[10]
Crystalline Li2PmPd4Pb at its relaxed geometry. Source: Alexandria, functional GGA-PBE.

Cell lengths 4.6516, 4.6516, 23.2353 Å; angles 90.00, 90.00, 120.00 degrees
Space group R-3m (No. 166, hexagonal axes)
Unique sites:
1 Li 0.0000 0.0000 0.2446 (multiplicity 6)
2 Pm 0.0000 0.0000 0.0000 (multiplicity 3)
3 Pd 0.0000 0.0000 0.1247 (multiplicity 6)
4 Pd 0.0000 0.0000 0.3822 (multiplicity 6)
5 Pb 0.0000 0.0000 0.5000 (multiplicity 3)

total moment	0.0000	μB per atom
E	-4.6285	eV/atom
energy of formation from the pure elements	-0.50	eV/atom

[11]
Crystalline LiPrPdPb at its relaxed geometry. Source: Alexandria, functional GGA-PBE.

Cell lengths 6.998, 6.998, 6.998 Å; angles 90.00, 90.00, 90.00 degrees
Space group F-43m (No. 216)
Unique sites:
1 Li 0.000 0.000 0.000 (multiplicity 4)
2 Pr 0.250 0.250 0.250 (multiplicity 4)
3 Pd 0.000 0.000 0.500 (multiplicity 4)
4 Pb 0.250 0.250 0.750 (multiplicity 4)

total moment	0.0000	μB per atom
E	-4.5195	eV/atom
energy of formation from the pure elements	-0.62	eV/atom

[12]
Crystalline LiPrPd3Pb at its relaxed geometry. Source: Alexandria, functional GGA-PBE.

Cell lengths 5.836, 12.692, 6.706 Å; angles 90.00, 90.00, 90.00 degrees
Space group Cmcm (No. 63)
Unique sites:
1 Li 0.000 0.087 0.250 (multiplicity 4)
2 Pr 0.000 0.333 0.250 (multiplicity 4)
3 Pd 0.000 0.144 0.750 (multiplicity 4)
4 Pd 0.249 0.000 0.000 (multiplicity 8)
5 Pb 0.000 0.362 0.750 (multiplicity 4)

total moment	0.0000	μB per atom
E	-4.7729	eV/atom
energy of formation from the pure elements	-0.44	eV/atom

What did the eighth record say?
Crystalline LiPmPd4Pb2 at its relaxed geometry. Source: Alexandria, functional GGA-PBE.

Cell lengths 4.7341, 4.7341, 24.0861 Å; angles 90.00, 90.00, 120.00 degrees
Space group R-3m (No. 166, hexagonal axes)
Unique sites:
1 Li 0.0000 0.0000 0.0000 (multiplicity 3)
2 Pm 0.0000 0.0000 0.5000 (multiplicity 3)
3 Pd 0.0000 0.0000 0.1101 (multiplicity 6)
4 Pd 0.0000 0.0000 0.3736 (multiplicity 6)
5 Pb 0.0000 0.0000 0.2556 (multiplicity 6)

total moment	0.0000	μB per atom
E	-4.8695	eV/atom
energy of formation from the pure elements	-0.51	eV/atom